La2IrPb (PBE, relaxed); formation enthalpy at 0 K = -0.52 eV per atom; energy = -6.127 eV/atom; density = 9.95 g cm⁻³; symmetry = No. 44
1.0
7.0184 0.0099 0.0264
6.0647 3.5324 0.0264
1.6950 0.4589 4.5779
Ir La Pb
1 2 1
Cartesian
11.0812 3.0003 3.4744
2.3186 0.6278 4.3299
3.7472 1.0146 1.1368
6.7150 1.8181 2.5830


LaIrPb2 (PBE, relaxed); formation enthalpy at 0 K = -0.31 eV per atom; energy = -5.616 eV/atom; density = 11.16 g cm⁻³; symmetry = No. 6
1.0
-3.2574 0.6642 2.1246
1.8229 -1.9203 3.3952
3.3469 4.7783 3.6374
Ir La Pb
1 1 2
Cartesian
2.4384 2.2443 3.0369
1.9333 2.1213 5.9642
0.1445 -0.0440 0.2353
-0.0190 0.6296 3.4372


LaIrPb (PBE, relaxed); formation enthalpy at 0 K = -0.28 eV per atom; energy = -6.114 eV/atom; density = 12.01 g cm⁻³; symmetry = No. 44
1.0
-5.9297 2.7279 0.6336
-6.0029 -2.1367 1.5504
6.4259 0.1398 1.3010
Ir La Pb
1 1 1
Cartesian
-0.0363 0.0018 0.0066
-4.2723 0.2117 0.7820
-7.6240 0.3777 1.3954


La5Ir2Pb (PBE, relaxed); formation enthalpy at 0 K = -0.66 eV per atom; energy = -6.420 eV/atom; density = 9.00 g cm⁻³; symmetry = No. 140
1.0
-5.2520 1.3674 6.0904
3.4608 -5.9862 4.3284
5.4389 7.0064 -2.3461
La Ir Pb
10 4 2
Cartesian
3.6843 1.6449 4.5562
0.6359 -2.8901 8.4089
0.0000 0.0000 0.0000
-0.8956 -2.3094 5.2094
3.0118 5.2778 -0.3361
1.0086 4.8841 3.4881
5.6875 2.0386 0.7319
2.6391 -2.4964 4.5846
-2.0397 0.3491 7.3408
-0.0366 0.7428 3.5166
0.5008 -1.9553 2.4129
-2.8788 0.0319 4.5155
1.0876 -4.6506 5.9033
-2.2920 -2.6634 8.0060
1.3761 0.0391 6.6411
2.2716 2.3485 1.4316


La2Ir2Pb (PBE, relaxed); formation enthalpy at 0 K = -0.64 eV per atom; energy = -6.900 eV/atom; density = 11.76 g cm⁻³; symmetry = No. 15
1.0
-2.8822 4.9072 0.9500
-2.1871 -5.0926 2.1487
5.6660 2.1894 5.8808
La Ir Pb
4 4 2
Cartesian
-1.1658 1.1666 1.9455
-0.0815 -1.9412 3.7676
1.7624 0.8375 7.0339
0.6781 3.9453 5.2119
-0.7582 1.0134 5.2054
4.9743 0.7464 6.4553
1.3548 0.9907 3.7741
-4.3777 1.2577 2.5242
-0.9661 4.6039 2.2555
3.7498 2.4928 4.5753


La5IrPb2 (PBE, relaxed); formation enthalpy at 0 K = -0.64 eV per atom; energy = -5.758 eV/atom; density = 8.24 g cm⁻³; symmetry = No. 55
1.0
4.8265 0.0000 0.0000
0.0000 8.4518 0.0000
0.0000 0.0000 12.8589
La Ir Pb
10 2 4
Cartesian
0.0000 0.0000 6.4295
0.0000 4.2259 0.0000
0.0000 7.3511 2.5549
0.0000 1.1007 10.3040
0.0000 5.3266 8.9843
0.0000 3.1252 3.8746
2.4133 5.8114 5.6006
2.4133 2.6404 7.2583
2.4133 6.8663 12.0301
2.4133 1.5855 0.8288
0.0000 4.2259 6.4295
0.0000 0.0000 0.0000
2.4133 4.9181 2.2070
2.4133 3.5337 10.6519
2.4133 7.7596 8.6365
2.4133 0.6922 4.2224


LaIr2Pb (PBE, relaxed); formation enthalpy at 0 K = 0.23 eV per atom; energy = -6.359 eV/atom; density = 14.18 g cm⁻³; symmetry = No. 216
1.0
4.9457 0.0000 0.0000
2.4728 4.2831 0.0000
2.4728 1.4277 4.0381
Ir La Pb
2 1 1
Cartesian
0.0000 0.0000 0.0000
2.4728 1.4277 1.0095
4.9457 2.8554 2.0191
7.4185 4.2831 3.0286


LaIrPb2 (PBE, relaxed); formation enthalpy at 0 K = -0.25 eV per atom; energy = -5.553 eV/atom; density = 11.98 g cm⁻³; symmetry = No. 166
1.0
6.0887 0.0014 0.0009
4.2916 4.3190 0.0009
4.2916 1.7862 3.9324
Ir La Pb
1 1 2
Cartesian
3.6680 1.5267 0.9835
11.0039 4.5800 2.9506
14.3093 5.9557 3.8369
7.6986 3.2043 2.0643


LaIr2Pb (PBE, relaxed); formation enthalpy at 0 K = -0.12 eV per atom; energy = -6.709 eV/atom; density = 14.47 g cm⁻³; symmetry = No. 139
1.0
5.0998 0.0109 -0.0180
0.8845 5.0226 0.0180
-2.9814 -2.5295 3.2744
Ir La Pb
2 1 1
Cartesian
0.0001 0.0001 0.0000
2.9921 2.5167 0.0000
2.5553 -0.0009 1.6282
0.4476 2.5049 1.6462


LaIrPb (PBE, relaxed); formation enthalpy at 0 K = -0.44 eV per atom; energy = -6.268 eV/atom; density = 10.93 g cm⁻³; symmetry = No. 216
1.0
4.8722 0.0000 0.0000
2.4361 4.2194 0.0000
2.4361 1.4065 3.9781
Ir La Pb
1 1 1
Cartesian
7.3083 4.2194 2.9836
0.0000 0.0000 0.0000
4.8722 2.8129 1.9891


La2IrPb (PBE, relaxed); formation enthalpy at 0 K = -0.55 eV per atom; energy = -6.159 eV/atom; density = 9.73 g cm⁻³; symmetry = No. 38
1.0
4.3355 0.0000 0.0000
0.0000 4.5488 -0.0056
0.0000 2.2814 5.8587
Ir La Pb
1 2 1
Cartesian
2.1677 4.2725 4.8345
0.0000 6.5426 5.2248
2.1677 1.9926 1.7638
0.0000 4.2680 2.8095


La8Ir3Pb2 (PBE, relaxed); formation enthalpy at 0 K = -0.52 eV per atom; energy = -6.166 eV/atom; density = 8.38 g cm⁻³; symmetry = No. 10
1.0
-2.8989 -2.8512 3.1283
-6.5388 -1.8188 -7.7171
7.4134 -5.5092 1.8475
La Ir Pb
8 3 2
Cartesian
-5.2945 -5.1147 -1.1551
3.2702 -5.0645 -1.5862
-1.9807 -4.2741 2.6819
-0.0435 -5.9052 -5.4232
0.1029 -6.9180 -2.0039
3.4838 -5.9743 1.9892
-5.5080 -4.2050 -4.7305
-2.1271 -3.2612 -0.7373
-1.4495 -1.4256 1.5641
5.7535 -5.9698 -0.1104
-7.7778 -4.2095 -2.6308
0.6852 -4.7314 0.5287
-2.7094 -5.4478 -3.2699


LaIr2Pb (PBE, relaxed); formation enthalpy at 0 K = -0.06 eV per atom; energy = -6.652 eV/atom; density = 13.99 g cm⁻³; symmetry = No. 44
1.0
5.9803 0.0902 -0.1590
4.7699 3.6083 -0.1590
1.7552 0.6039 4.0472
Ir La Pb
2 1 1
Cartesian
10.6933 3.6790 -0.2886
3.4690 1.1935 0.7639
6.2104 2.1367 1.8855
9.1356 3.1431 2.9149


LaIrPb3 (PBE, relaxed); formation enthalpy at 0 K = 0.16 eV per atom; energy = -4.824 eV/atom; density = 10.28 g cm⁻³; symmetry = No. 221; excess energy over the best structure of this formula in the dataset = 0 meV per atom
1.0
5.3585 0.0000 0.0000
0.0000 5.3585 0.0000
0.0000 0.0000 5.3585
Pb Ir La
3 1 1
Cartesian
0.0000 2.6793 0.0000
0.0000 0.0000 2.6793
2.6793 0.0000 0.0000
0.0000 0.0000 0.0000
2.6793 2.6793 2.6793


LaIrPb2 (PBE, relaxed); formation enthalpy at 0 K = -0.33 eV per atom; energy = -5.633 eV/atom; density = 10.87 g cm⁻³; symmetry = No. 65
1.0
4.5925 0.0000 0.0000
0.0000 5.2591 0.0690
0.0000 2.2754 4.7463
Ir La Pb
1 1 2
Cartesian
2.2963 1.8836 1.2038
2.2963 5.6508 3.6115
0.0000 0.5338 0.3403
0.0000 3.2334 2.0673


LaIrPb (PBE, relaxed); formation enthalpy at 0 K = 0.33 eV per atom; energy = -5.499 eV/atom; density = 10.11 g cm⁻³; symmetry = No. 216
1.0
-0.4498 -4.7193 -1.5920
1.4188 -3.7802 2.9506
-3.4368 -3.0088 2.0358
Ir La Pb
1 1 1
Cartesian
-1.2339 -5.7542 1.6972
-1.8508 -8.6312 2.5459
0.0000 0.0000 0.0000


LaIrPb2 (PBE, relaxed); formation enthalpy at 0 K = -0.16 eV per atom; energy = -5.458 eV/atom; density = 12.22 g cm⁻³; symmetry = No. 123
1.0
-3.5891 -2.4071 -1.3049
2.6681 -3.5574 -0.7775
-0.6761 -1.5306 4.6831
Ir La Pb
1 1 2
Cartesian
-2.1326 -1.9688 1.6891
0.9960 -2.5440 1.9528
0.0000 0.0000 0.0000
-0.4605 -2.9822 -1.0412


La6Ir2Pb (PBE, relaxed); formation enthalpy at 0 K = -0.52 eV per atom; energy = -6.181 eV/atom; density = 8.72 g cm⁻³; symmetry = No. 12
1.0
5.0046 0.0000 0.0000
-2.5023 5.7105 -0.3003
0.0000 -0.2502 9.5097
La Ir Pb
6 2 1
Cartesian
0.0000 0.8148 8.1368
2.5023 1.2017 1.5434
0.0000 4.2587 7.6660
2.5023 2.1227 5.6570
0.0000 3.3376 3.5523
2.5023 4.6455 1.0725
2.5023 2.5695 8.2909
0.0000 2.8908 0.9185
0.0000 -0.1251 4.7548


La2IrPb (PBE, relaxed); formation enthalpy at 0 K = -0.59 eV per atom; energy = -6.195 eV/atom; density = 9.07 g cm⁻³; symmetry = No. 164
1.0
4.4071 -0.0002 0.0000
-2.2038 3.8171 0.0019
0.0001 -0.0042 7.3692
La Ir Pb
2 1 1
Cartesian
1.1017 3.1775 5.9124
1.1017 0.6352 1.4588
-1.1019 1.9086 0.0010
-1.1018 1.9065 3.6856


La2IrPb (PBE, relaxed); formation enthalpy at 0 K = -0.24 eV per atom; energy = -5.846 eV/atom; density = 11.29 g cm⁻³; symmetry = No. 216
1.0
5.2037 0.0000 0.0000
2.6019 4.5066 0.0000
2.6019 1.5022 4.2488
Ir La Pb
1 2 1
Cartesian
5.2037 3.0044 2.1244
0.0000 0.0000 0.0000
2.6019 1.5022 1.0622
7.8056 4.5066 3.1866


LaIr2Pb (PBE, relaxed); formation enthalpy at 0 K = -0.26 eV per atom; energy = -6.853 eV/atom; density = 13.57 g cm⁻³; symmetry = No. 6
1.0
-2.6973 -2.1571 -2.2971
2.5890 -3.1660 -0.0670
-0.9260 -3.4783 4.3536
Ir La Pb
2 1 1
Cartesian
-0.3776 -4.0263 4.2242
-1.4947 -2.2051 0.0808
0.8508 -2.9665 1.7866
-0.1075 -6.4038 2.3947


LaIrPb2 (PBE, relaxed); formation enthalpy at 0 K = -0.11 eV per atom; energy = -5.409 eV/atom; density = 12.24 g cm⁻³; symmetry = No. 119
1.0
-1.9284 -4.4422 -1.9721
-0.8515 -1.7746 4.8443
-1.9952 4.5996 -1.4848
Ir La Pb
1 1 2
Cartesian
-1.3899 -3.1084 1.4361
-2.6568 -1.4756 -1.0104
0.0000 0.0000 0.0000
-2.1183 -0.1417 2.3978


La7Ir2Pb2 (PBE, relaxed); formation enthalpy at 0 K = -0.50 eV per atom; energy = -5.920 eV/atom; density = 8.33 g cm⁻³; symmetry = No. 12; excess energy over the best structure of this formula in the dataset = 48 meV per atom
1.0
-4.4742 -0.7549 4.9042
1.3916 -8.0132 -0.9024
3.8452 -0.5192 5.4391
La Ir Pb
7 2 2
Cartesian
-1.5188 -2.4002 6.7839
2.0543 -7.3471 6.3919
2.2814 -6.8870 2.6569
-1.2916 -1.9401 3.0490
0.0000 0.0000 0.0000
-1.2266 -5.4657 4.5214
1.9892 -3.8216 4.9194
-0.2942 -7.9876 4.2674
1.0568 -1.2996 5.1734
0.1923 -5.0265 7.8289
0.5703 -4.2607 1.6119


LaIrPb2 (PBE, relaxed); formation enthalpy at 0 K = -0.06 eV per atom; energy = -5.360 eV/atom; density = 12.63 g cm⁻³; symmetry = No. 225
1.0
2.8970 -0.4889 4.2614
0.1055 3.8043 3.5082
-2.2645 -0.6643 4.6067
Pb Ir La
2 1 1
Cartesian
0.1845 0.6628 3.0941
0.5535 1.9883 9.2823
0.3690 1.3255 6.1882
0.0000 0.0000 0.0000


La6IrPb (PBE, relaxed); formation enthalpy at 0 K = -0.31 eV per atom; energy = -5.573 eV/atom; density = 7.31 g cm⁻³; symmetry = No. 12
1.0
6.6684 0.3951 0.0000
1.9199 8.2215 0.0000
0.9600 4.1108 5.1812
La Ir Pb
6 1 1
Cartesian
7.0160 7.6792 3.1199
6.0561 3.5684 2.0613
3.4922 9.1590 3.1199
2.5322 5.0482 2.0613
5.5871 6.7647 0.0000
3.0012 1.8519 0.0000
4.2941 4.3083 0.0000
0.0000 0.0000 0.0000


La8Ir4Pb (PBE, relaxed); formation enthalpy at 0 K = -0.61 eV per atom; energy = -6.651 eV/atom; density = 7.64 g cm⁻³; symmetry = No. 12
1.0
1.1657 -4.1749 -7.4379
3.5343 -3.0821 7.2194
-8.1760 -0.1786 1.2372
La Ir Pb
8 4 1
Cartesian
-0.9014 -2.8599 -4.7013
0.4281 -2.5377 2.6206
0.9079 -4.5363 -0.9784
-1.4098 -0.8824 -1.0202
-2.0661 -6.5533 2.0388
-4.3838 -2.8993 1.9970
-3.9041 -4.8979 -1.6019
-2.5746 -4.5757 5.7200
1.1601 -1.7913 -0.0539
3.5398 -5.4657 -0.1646
-5.1080 -3.4526 4.7964
1.6320 -3.9830 -3.7777
-2.3208 -1.6304 4.2283


La2IrPb (PBE, relaxed); formation enthalpy at 0 K = -0.35 eV per atom; energy = -5.957 eV/atom; density = 10.60 g cm⁻³; symmetry = No. 119
1.0
-4.8722 -2.9312 2.2869
0.9621 -3.8719 4.6522
1.4986 5.7755 -1.3994
Ir La Pb
1 2 1
Cartesian
-2.6643 -0.2786 2.1785
0.0000 0.0000 0.0000
0.2528 -0.7490 3.3612
-1.9551 -3.4015 3.4695